Sm2ScIn: relaxed, GGA-PBE.

Results
- Formation energy from the elements: -0.1664 eV per atom
- D(E_F): 5.57 states/eV/cell
- Offset from the most stable computed form: 0.094 eV/atom

abc: 5.4271 5.4271 5.4271
angles: 60.00 60.00 60.00
With the nearest neighbours (Å) after each atom.
Fractional coordinates of all 4 atoms:
Sc 0.5000 0.5000 0.5000  8 Sm 3.32
In 0.0000 0.0000 0.0000  8 Sm 3.32
Sm 0.2500 0.2500 0.2500  4 In 3.32, 4 Sc 3.32
Sm 0.7500 0.7500 0.7500  4 In 3.32, 4 Sc 3.32


Sm2ScIn4: relaxed, GGA-PBE.

Results
- Formation energy from the elements: 0.0440 eV per atom
- D(E_F): 9.89 states/eV/cell
- Offset from the most stable computed form: 0.382 eV/atom

abc: 5.3282 5.3282 8.8351
angles: 107.55 107.55 90.00
With the nearest neighbours (Å) after each atom.
Fractional coordinates of all 7 atoms:
Sc 0.0000 0.0000 0.0000  6 In 2.66-2.89
In 0.1808 0.1808 0.3615  1 Sc 2.89, 1 Sm 3.18
In 0.0000 0.5000 0.0000  2 Sc 2.66
In 0.5000 0.0000 0.0000  2 Sc 2.66
In 0.8192 0.8192 0.6385  1 Sc 2.89, 1 Sm 3.18
Sm 0.3799 0.3799 0.7599  5 In 3.18-3.28
Sm 0.6201 0.6201 0.2401  5 In 3.18-3.28


SmSc6In: relaxed, GGA-PBE.

Results
- Formation energy from the elements: 0.1012 eV per atom
- D(E_F): 14.27 states/eV/cell

abc: 6.1602 6.1602 8.5480
angles: 109.52 109.52 121.08
With the nearest neighbours (Å) after each atom.
Fractional coordinates of all 8 atoms:
Sc 0.7777 0.7777 0.2445  6 Sc 3.06-3.22, 1 In 3.16, 1 Sm 3.31
Sc 0.2223 0.2223 0.7555  6 Sc 3.06-3.22, 1 In 3.16, 1 Sm 3.31
Sc 0.3218 0.7824 0.7508  6 Sc 3.06-3.26, 1 Sm 3.14, 1 In 3.19
Sc 0.6782 0.2176 0.2492  6 Sc 3.06-3.26, 1 Sm 3.14, 1 In 3.19
Sc 0.2176 0.6782 0.2492  6 Sc 3.06-3.26, 1 Sm 3.14, 1 In 3.19
Sc 0.7824 0.3218 0.7508  6 Sc 3.06-3.26, 1 Sm 3.14, 1 In 3.19
Sm 0.5000 0.5000 0.5000  2 In 3.14, 6 Sc 3.14-3.31
In 0.0000 0.0000 0.0000  2 Sm 3.14, 6 Sc 3.16-3.19


SmScIn: relaxed, GGA-PBE.

Results
- Formation energy from the elements: -0.2445 eV per atom
- D(E_F): 7.71 states/eV/cell
- Offset from the most stable computed form: 0.114 eV/atom

abc: 3.4114 4.4401 10.4800
angles: 90.00 90.00 90.00
With the nearest neighbours (Å) after each atom.
Fractional coordinates of all 6 atoms:
In 0.0000 0.2500 0.4876  4 Sc 3.14, 5 Sm 3.34-3.42, 2 In 3.41
In 0.5000 0.7500 0.9876  4 Sc 3.14, 5 Sm 3.34-3.42, 2 In 3.41
Sm 0.5000 0.7500 0.6614  5 Sc 3.23-3.45, 5 In 3.34-3.42, 2 Sm 3.41
Sm 0.0000 0.2500 0.1614  5 Sc 3.23-3.45, 5 In 3.34-3.42, 2 Sm 3.41
Sc 0.5000 0.7500 0.3529  4 In 3.14, 5 Sm 3.23-3.45, 2 Sc 3.41
Sc 0.0000 0.2500 0.8529  4 In 3.14, 5 Sm 3.23-3.45, 2 Sc 3.41


no.,uncorrected energy (eV/atom),spin magnetization (μB/f.u.)
1,-4.793,1.18
2,-3.774,0.63
3,-5.580,0.00
4,-4.841,0.57